VASP calculation (PBE) on a geometry-optimized CdGeOs2Pd structure.

Summary:
- DFT formation energy (eV/atom) = 2.395
- density of states at the Fermi level (states/eV/cell) = 6.741

Cell: 4.9209 4.9209 4.8566 Å, 90.00 90.00 90.00°
With the nearest neighbours (Å) after each atom.
Space group P4/mmm (No. 123)
Asymmetric unit:
Cd 0.0000 0.0000 0.0000 x1  2 Pd 2.43, 4 Os 2.46
Ge 0.5000 0.5000 0.5000 x1  8 Os 3.46, 4 Pd 3.48
Os 0.0000 0.5000 0.0000 x2  2 Cd 2.46
Pd 0.0000 0.0000 0.5000 x1  2 Cd 2.43

=====

VASP calculation (PBE) on a geometry-optimized Pm2TmZr structure.

Summary:
- distance to the lowest polymorph of the same formula (kcal/mol of atoms) = 0.09
- DFT formation energy (eV/atom) = 0.117
- density of states at the Fermi level (states/eV/cell) = 18.641

Cell: 3.4888 3.4888 33.9775 Å, 90.00 90.00 120.00°
With the nearest neighbours (Å) after each atom.
Space group R3m (No. 160, hexagonal axes)
Asymmetric unit:
Pm 0.0000 0.0000 0.0000 x3  3 Zr 3.35, 6 Pm 3.49, 3 Tm 3.57
Pm 0.0000 0.0000 0.1746 x3  3 Zr 3.38, 6 Pm 3.49, 3 Tm 3.60
Tm 0.0000 0.0000 0.4201 x3  6 Tm 3.49, 6 Pm 3.57-3.60
Zr 0.0000 0.0000 0.5878 x3  6 Pm 3.35-3.38, 6 Zr 3.49

=====

VASP calculation (PBE) on a geometry-optimized La2SmRh2I2 structure.

Summary:
- E_form (uncorrected) (kJ/mol of atoms) = -73
- density of states at the Fermi level (states/eV/cell) = 9.467

Cell: 5.1907 5.1907 16.9451 Å, 90.00 90.00 90.00°
With the nearest neighbours (Å) after each atom.
Space group I4/mmm (No. 139)
Asymmetric unit:
La 0.0000 0.0000 0.1056 x4  4 Rh 3.15, 1 I 3.42
Sm 0.0000 0.0000 0.5000 x2  4 Rh 2.60
Rh 0.0000 0.5000 0.0000 x4  2 Sm 2.60
I 0.0000 0.0000 0.3075 x4  1 Sm 3.26, 1 La 3.42

=====

VASP calculation (PBE) on a geometry-optimized In2GaPd5 structure.

Summary:
- DFT formation energy (eV/atom) = -0.563
- density of states at the Fermi level (states/eV/cell) = 6.722

Cell: 5.6602 11.0453 4.2116 Å, 90.00 90.00 90.00°
With the nearest neighbours (Å) after each atom.
Space group Pbam (No. 55)
Asymmetric unit:
In 0.1657 0.1450 0.0000 x4  10 Pd 2.77-2.96
Ga 0.0000 0.5000 0.5000 x2  8 Pd 2.59-2.83
Pd 0.0000 0.0000 0.5000 x2  4 In 2.81, 2 Ga 2.83, 6 Pd 2.95-2.98
Pd 0.0709 0.7356 0.5000 x4  1 Ga 2.63, 4 In 2.77-2.82, 3 Pd 2.85-2.95
Pd 0.1817 0.4001 0.0000 x4  2 Ga 2.59, 3 In 2.78-2.84

=====

VASP calculation (PBE) on a geometry-optimized NaAsOsSe2 structure.

Summary:
- distance to the lowest polymorph of the same formula (kcal/mol of atoms) = 0.00
- E_form (uncorrected) (kJ/mol of atoms) = 23
- density of states at the Fermi level (states/eV/cell) = 6.771

Cell: 5.1766 5.1766 4.6551 Å, 90.00 90.00 90.00°
With the nearest neighbours (Å) after each atom.
Space group P4/mmm (No. 123)
Asymmetric unit:
Na 0.0000 0.0000 0.0000 x1  8 Se 3.48, 4 As 3.66
As 0.5000 0.5000 0.0000 x1  2 Os 2.33
Os 0.5000 0.5000 0.5000 x1  2 As 2.33, 4 Se 2.59
Se 0.0000 0.5000 0.5000 x2  2 Os 2.59

=====

| no. | raw total energy (hartree per atom) |
| --- | --- |
| 1 | -0.1559 |
| 2 | -0.2026 |
| 3 | -0.1979 |
| 4 | -0.1790 |
| 5 | -0.1689 |